Entry w
Th2AgPd: relaxed, PBE.

Symmetry: No. 123

abc: 3.636 3.636 7.591
angles: 90.00 90.00 90.00
Atoms (fractional coordinates):
Th 0.000 0.000 0.234
Th 0.000 0.000 0.766
Ag 0.500 0.500 0.500
Pd 0.500 0.500 0.000

***

Entry x
Th2AgPd: relaxed, PBE.

Symmetry: No. 225

abc: 5.212 5.212 5.212
angles: 60.00 60.00 60.00
Atoms (fractional coordinates):
Th 0.250 0.250 0.250
Th 0.750 0.750 0.750
Ag 0.000 0.000 0.000
Pd 0.500 0.500 0.500

***

It is entry w that is the most stable of them.

***

Entry w
Ti2AgPd: relaxed, PBE.

Symmetry: No. 123

abc: 2.833 2.833 8.180
angles: 90.00 90.00 90.00
Atoms (fractional coordinates):
Ti 0.000 0.000 0.236
Ti 0.000 0.000 0.764
Ag 0.500 0.500 0.500
Pd 0.500 0.500 0.000

***

Entry x
Ti2AgPd: relaxed, PBE.

Symmetry: No. 123

abc: 3.987 3.987 4.099
angles: 90.00 90.00 90.00
Atoms (fractional coordinates):
Ti 0.000 0.500 0.000
Ti 0.500 0.000 0.000
Ag 0.000 0.000 0.500
Pd 0.500 0.500 0.500

***

Entry y
Ti2AgPd: relaxed, PBE.

Symmetry: No. 160

abc: 9.430 9.430 9.430
angles: 17.54 17.54 17.54
Atoms (fractional coordinates):
Ti 0.000 0.000 0.000
Ti 0.174 0.174 0.174
Ag 0.420 0.420 0.420
Pd 0.587 0.587 0.587

***

Entry z
Ti2AgPd: relaxed, PBE.

Symmetry: No. 225

abc: 4.566 4.566 4.566
angles: 60.00 60.00 60.00
Atoms (fractional coordinates):
Ti 0.250 0.250 0.250
Ti 0.750 0.750 0.750
Ag 0.000 0.000 0.000
Pd 0.500 0.500 0.500

***

It is entry w that is the most stable of them.